The following is a PBE-GGA calculation of VWI2N after structural relaxation, from Alexandria.

Results
* magnetization: 4.61 Bohr magnetons per cell
* uncorrected formation energy: 100.79 kJ per mole of atoms
* energy above the most stable polymorph in this dataset: 0.0347 eV/atom
* total energy: -28.27 eV for the cell shown
* Fermi-level density of states: 2.11 states/eV/f.u.

abc: 5.507 5.507 3.617
angles: 90.00 90.00 90.00
Space group P4/mmm (No. 123)
Unique sites:
V1 0.000 0.000 0.000
W1 0.500 0.500 0.500
I1 0.000 0.500 0.000
N1 0.000 0.000 0.500

The following is a PBE-GGA calculation of NdEr3Tm2Se6 after structural relaxation, from Alexandria.

Results
* magnetization: 0.00 Bohr magnetons per cell
* uncorrected formation energy: -164.70 kJ per mole of atoms
* total energy: -137.58 eV for the cell shown
* Fermi-level density of states: 5.00 states/eV/f.u.

abc: 7.015 12.213 7.040
angles: 90.00 109.41 90.00
Space group C2/m (No. 12)
Unique sites:
Nd1 0.000 0.000 0.000
Er1 0.000 0.157 0.500
Er2 0.000 0.500 0.500
Tm1 0.000 0.335 0.000
Se1 0.237 0.500 0.249
Se2 0.241 0.326 0.743

The following is a PBE-GGA calculation of GdZrZnPt after structural relaxation, from Alexandria.

Results
* magnetization: 29.93 Bohr magnetons per cell
* energy of formation: -574 meV/atom
* total energy: -128.96 eV for the cell shown
* Fermi-level density of states: 4.29 states/eV/f.u.

abc: 6.917 6.917 6.917
angles: 90.00 90.00 90.00
Space group F-43m (No. 216)
Unique sites:
Gd1 0.000 0.000 0.000
Zr1 0.000 0.000 0.500
Zn1 0.250 0.250 0.250
Pt1 0.250 0.250 0.750

Repeat the third record exactly.
The following is a PBE-GGA calculation of GdZrZnPt after structural relaxation, from Alexandria.

Results
* magnetization: 29.93 Bohr magnetons per cell
* energy of formation: -574 meV/atom
* total energy: -128.96 eV for the cell shown
* Fermi-level density of states: 4.29 states/eV/f.u.

abc: 6.917 6.917 6.917
angles: 90.00 90.00 90.00
Space group F-43m (No. 216)
Unique sites:
Gd1 0.000 0.000 0.000
Zr1 0.000 0.000 0.500
Zn1 0.250 0.250 0.250
Pt1 0.250 0.250 0.750